P.
Here is an optimized crystal structure of GaCuI2N from the Alexandria database. Energies are from PBE.

Results
Size of the total moment in Bohr magnetons per cell: 2.16
DOS(E_F) in states/eV/f.u.: 2.6
Space group: P4/mmm (123)

Structure (POSCAR):
```
GaCuI2N
1.0
5.801 0.000 0.000
0.000 5.801 0.000
0.000 0.000 3.738
Ga Cu I N
1 1 2 1
Direct
0.000 0.000 0.000
0.500 0.500 0.500
0.000 0.500 0.500
0.500 0.000 0.500
0.500 0.500 0.000
```


Q.
Here is an optimized crystal structure of GaCuI2N from the Alexandria database. Energies are from PBE.

Results
Size of the total moment in Bohr magnetons per cell: 0.95
DOS(E_F) in states/eV/f.u.: 3.3
Space group: P4/mmm (123)

Structure (POSCAR):
```
GaCuI2N
1.0
5.820 0.000 0.000
0.000 5.820 0.000
0.000 0.000 3.613
Ga Cu I N
1 1 2 1
Direct
0.000 0.000 0.000
0.500 0.500 0.500
0.000 0.500 0.000
0.500 0.000 0.000
0.000 0.000 0.500
```


If we sort the structures by their calculated energies, the order from most to least stable is P, Q.


P.
Here is an optimized crystal structure of GaCuSbI2 from the Alexandria database. Energies are from PBE.

Results
Size of the total moment in Bohr magnetons per cell: 0.79
DOS(E_F) in states/eV/f.u.: 5.3
Space group: P4/mmm (123)

Structure (POSCAR):
```
GaCuSbI2
1.0
5.640 0.000 0.000
0.000 5.640 0.000
0.000 0.000 5.422
Ga Cu Sb I
1 1 1 2
Direct
0.000 0.000 0.000
0.500 0.500 0.500
0.000 0.000 0.500
0.000 0.500 0.000
0.500 0.000 0.000
```


Q.
Here is an optimized crystal structure of GaCuSbI2 from the Alexandria database. Energies are from PBE.

Results
Size of the total moment in Bohr magnetons per cell: 0.00
DOS(E_F) in states/eV/f.u.: 3.9
Space group: P4/mmm (123)

Structure (POSCAR):
```
GaCuSbI2
1.0
5.671 0.000 0.000
0.000 5.671 0.000
0.000 0.000 4.958
Ga Cu Sb I
1 1 1 2
Direct
0.000 0.000 0.000
0.500 0.500 0.500
0.500 0.500 0.000
0.000 0.500 0.500
0.500 0.000 0.500
```


If we sort the structures by their calculated energies, the order from most to least stable is Q, P.


P.
Here is an optimized crystal structure of GaCuTe2I from the Alexandria database. Energies are from PBE.

Results
Size of the total moment in Bohr magnetons per cell: 0.00
DOS(E_F) in states/eV/f.u.: 4.1
Space group: P4/mmm (123)

Structure (POSCAR):
```
GaCuTe2I
1.0
5.182 0.000 0.000
0.000 5.182 0.000
0.000 0.000 5.613
Ga Cu Te I
1 1 2 1
Direct
0.000 0.000 0.000
0.500 0.500 0.500
0.000 0.500 0.500
0.500 0.000 0.500
0.500 0.500 0.000
```


Q.
Here is an optimized crystal structure of GaCuTe2I from the Alexandria database. Energies are from PBE.

Results
Size of the total moment in Bohr magnetons per cell: 0.00
DOS(E_F) in states/eV/f.u.: 6.6
Space group: P4/mmm (123)

Structure (POSCAR):
```
GaCuTe2I
1.0
5.398 0.000 0.000
0.000 5.398 0.000
0.000 0.000 5.635
Ga Cu Te I
1 1 2 1
Direct
0.000 0.000 0.000
0.500 0.500 0.500
0.000 0.500 0.000
0.500 0.000 0.000
0.000 0.000 0.500
```


If we sort the structures by their calculated energies, the order from most to least stable is P, Q.